(1)
Computed, not measured: crystalline BaCa2CdPd at its relaxed geometry at the GGA-PBE level of DFT.

Lattice parameters (Å, degrees): 5.5680 5.5680 5.5233 90.00 90.00 90.00
With the nearest neighbours (Å) after each atom.
Atoms (fractional coordinates):
Ba 0.0000 0.0000 0.0000  8 Ca 3.92, 4 Cd 3.94
Ca 0.0000 0.5000 0.5000  2 Pd 2.78
Ca 0.5000 0.0000 0.5000  2 Pd 2.78
Cd 0.5000 0.5000 0.0000  2 Pd 2.76
Pd 0.5000 0.5000 0.5000  2 Cd 2.76, 4 Ca 2.78

Calculated total energy: -2.722 eV/atom
Energy above the most stable polymorph in this dataset: 0 meV per atom
V: 171.2 Å³/f.u.
Energy relative to the elements: -0.32 eV per atom
Total moment: 0.00 μB per formula unit

***

(2)
Computed, not measured: crystalline BaCa2CdPd at its relaxed geometry at the GGA-PBE level of DFT.

Lattice parameters (Å, degrees): 5.6120 5.6120 6.1244 90.00 90.00 90.00
With the nearest neighbours (Å) after each atom.
Atoms (fractional coordinates):
Ba 0.0000 0.0000 0.0000  2 Pd 3.06
Ca 0.0000 0.5000 0.5000  2 Pd 2.81
Ca 0.5000 0.0000 0.5000  2 Pd 2.81
Cd 0.5000 0.5000 0.0000  4 Ba 3.97, 8 Ca 4.15
Pd 0.0000 0.0000 0.5000  4 Ca 2.81, 2 Ba 3.06

Calculated total energy: -2.705 eV/atom
Energy above the most stable polymorph in this dataset: 17 meV per atom
V: 192.9 Å³/f.u.
Energy relative to the elements: -0.30 eV per atom
Total moment: 0.00 μB per formula unit

***

(3)
Computed, not measured: crystalline Ba2CaCdPd at its relaxed geometry at the GGA-PBE level of DFT.

Lattice parameters (Å, degrees): 6.1776 6.1776 5.4336 90.00 90.00 90.00
With the nearest neighbours (Å) after each atom.
Atoms (fractional coordinates):
Ba 0.0000 0.5000 0.0000  2 Pd 3.09
Ba 0.5000 0.0000 0.0000  2 Pd 3.09
Ca 0.0000 0.0000 0.5000  8 Ba 4.11, 4 Cd 4.37
Cd 0.5000 0.5000 0.5000  2 Pd 2.72
Pd 0.5000 0.5000 0.0000  2 Cd 2.72

Calculated total energy: -2.594 eV/atom
Energy above the most stable polymorph in this dataset: 81 meV per atom
V: 207.4 Å³/f.u.
Energy relative to the elements: -0.20 eV per atom
Total moment: 0.00 μB per formula unit

***

(4)
Computed, not measured: crystalline BaCaCd2Pd at its relaxed geometry at the GGA-PBE level of DFT.

Lattice parameters (Å, degrees): 5.4334 5.4334 5.2904 90.00 90.00 90.00
With the nearest neighbours (Å) after each atom.
Atoms (fractional coordinates):
Ba 0.0000 0.0000 0.0000  8 Cd 3.79, 4 Ca 3.84
Ca 0.5000 0.5000 0.0000  2 Pd 2.65
Cd 0.0000 0.5000 0.5000  2 Pd 2.72
Cd 0.5000 0.0000 0.5000  2 Pd 2.72
Pd 0.5000 0.5000 0.5000  2 Ca 2.65, 4 Cd 2.72

Calculated total energy: -2.532 eV/atom
V: 156.2 Å³/f.u.
Energy relative to the elements: -0.34 eV per atom
Total moment: 0.00 μB per formula unit

***

(5)
Computed, not measured: crystalline Ba2CaCd12Pd3 at its relaxed geometry at the GGA-PBE level of DFT.

Lattice parameters (Å, degrees): 9.0059 9.0059 9.0059 64.46 64.46 64.46
With the nearest neighbours (Å) after each atom.
Atoms (fractional coordinates):
Ba 0.0952 0.0952 0.0952  9 Cd 3.44-3.83
Ba 0.9048 0.9048 0.9048  9 Cd 3.44-3.83
Ca 0.5000 0.5000 0.5000  6 Cd 3.21
Cd 0.0873 0.6437 0.6437  1 Pd 2.68
Cd 0.1966 0.1966 0.6432  2 Pd 2.65
Cd 0.1966 0.6432 0.1966  2 Pd 2.65
Cd 0.3563 0.3563 0.9127  1 Pd 2.68
Cd 0.3563 0.9127 0.3563  1 Pd 2.68
Cd 0.3568 0.8034 0.8034  2 Pd 2.65
Cd 0.6432 0.1966 0.1966  2 Pd 2.65
Cd 0.6437 0.0873 0.6437  1 Pd 2.68
Cd 0.6437 0.6437 0.0873  1 Pd 2.68
Cd 0.8034 0.3568 0.8034  2 Pd 2.65
Cd 0.8034 0.8034 0.3568  2 Pd 2.65
Cd 0.9127 0.3563 0.3563  1 Pd 2.68
Pd 0.0000 0.5000 0.5000  6 Cd 2.65-2.68
Pd 0.5000 0.0000 0.5000  6 Cd 2.65-2.68
Pd 0.5000 0.5000 0.0000  6 Cd 2.65-2.68

Calculated total energy: -1.841 eV/atom
V: 567.0 Å³/f.u.
Energy relative to the elements: -0.04 eV per atom
Total moment: 0.00 μB per formula unit

***

(6)
Computed, not measured: crystalline Ba2CaCdPd at its relaxed geometry at the GGA-PBE level of DFT.

Lattice parameters (Å, degrees): 6.2134 6.2134 5.5720 90.00 90.00 90.00
With the nearest neighbours (Å) after each atom.
Atoms (fractional coordinates):
Ba 0.0000 0.5000 0.0000  2 Pd 3.11
Ba 0.5000 0.0000 0.0000  2 Pd 3.11
Ca 0.0000 0.0000 0.5000  2 Pd 2.79
Cd 0.5000 0.5000 0.5000  8 Ba 4.17, 4 Ca 4.39
Pd 0.0000 0.0000 0.0000  2 Ca 2.79, 4 Ba 3.11

Calculated total energy: -2.675 eV/atom
Energy above the most stable polymorph in this dataset: 0 meV per atom
V: 215.1 Å³/f.u.
Energy relative to the elements: -0.28 eV per atom
Total moment: 0.00 μB per formula unit

***

(7)
Computed, not measured: crystalline BaCa2PmCd4 at its relaxed geometry at the GGA-PBE level of DFT.

Lattice parameters (Å, degrees): 9.7036 9.7036 9.7036 33.26 33.26 33.26
With the nearest neighbours (Å) after each atom.
Atoms (fractional coordinates):
Ba 0.0000 0.0000 0.0000  8 Cd 3.47-3.55
Ca 0.2484 0.2484 0.2484  7 Cd 3.27-3.43
Ca 0.7516 0.7516 0.7516  7 Cd 3.27-3.43
Pm 0.5000 0.5000 0.5000  8 Cd 3.24-3.37
Cd 0.1292 0.1292 0.1292  4 Ca 3.27-3.43, 3 Pm 3.37, 1 Ba 3.55
Cd 0.3820 0.3820 0.3820  1 Pm 3.24, 3 Ca 3.36, 3 Ba 3.47
Cd 0.6180 0.6180 0.6180  1 Pm 3.24, 3 Ca 3.36, 3 Ba 3.47
Cd 0.8708 0.8708 0.8708  4 Ca 3.27-3.43, 3 Pm 3.37, 1 Ba 3.55

Calculated total energy: -2.117 eV/atom
V: 244.7 Å³/f.u.
Energy relative to the elements: -0.33 eV per atom
Total moment: 0.00 μB per formula unit

***

(8)
Computed, not measured: crystalline BaCaPrCd at its relaxed geometry at the GGA-PBE level of DFT.

Lattice parameters (Å, degrees): 8.4250 8.4250 8.4250 90.00 90.00 90.00
With the nearest neighbours (Å) after each atom.
Atoms (fractional coordinates):
Ba 0.0000 0.0000 0.0000  4 Ca 3.65, 4 Cd 3.65
Ba 0.0000 0.5000 0.5000  4 Ca 3.65, 4 Cd 3.65
Ba 0.5000 0.0000 0.5000  4 Ca 3.65, 4 Cd 3.65
Ba 0.5000 0.5000 0.0000  4 Ca 3.65, 4 Cd 3.65
Ca 0.2500 0.2500 0.2500  4 Pr 3.65, 4 Ba 3.65
Ca 0.2500 0.7500 0.7500  4 Ba 3.65, 4 Pr 3.65
Ca 0.7500 0.2500 0.7500  4 Ba 3.65, 4 Pr 3.65
Ca 0.7500 0.7500 0.2500  4 Ba 3.65, 4 Pr 3.65
Pr 0.0000 0.0000 0.5000  4 Cd 3.65, 4 Ca 3.65
Pr 0.0000 0.5000 0.0000  4 Cd 3.65, 4 Ca 3.65
Pr 0.5000 0.0000 0.0000  4 Cd 3.65, 4 Ca 3.65
Pr 0.5000 0.5000 0.5000  4 Cd 3.65, 4 Ca 3.65
Cd 0.2500 0.2500 0.7500  4 Ba 3.65, 4 Pr 3.65
Cd 0.2500 0.7500 0.2500  4 Ba 3.65, 4 Pr 3.65
Cd 0.7500 0.2500 0.2500  4 Ba 3.65, 4 Pr 3.65
Cd 0.7500 0.7500 0.7500  4 Ba 3.65, 4 Pr 3.65

Calculated total energy: -2.389 eV/atom
V: 149.5 Å³/f.u.
Energy relative to the elements: 0.02 eV per atom
Total moment: 0.00 μB per formula unit

***

Q: Which of these has the highest calculated total energy?
A: Ba2CaCd12Pd3